Material: CdOsN2
Method: DFT, SCAN
State: PBEsol geometry

a = 4.797 Å, b = 4.797 Å, c = 5.942 Å
α = 113.81°, β = 113.81°, γ = 90.00°
Fractional positions:
N 0.308 0.875 0.250
N 0.125 0.058 0.750
N 0.625 0.692 0.750
Cd 0.750 0.250 0.500
N 0.942 0.375 0.250
Cd 0.500 0.500 0.000
Os 0.250 0.750 0.500
Os 0.000 0.000 0.000

## Properties
The density of states at the Fermi level comes out at 2.85 states/eV per cell. As for the space group: I-42d. The raw formation energy comes out at 2.178 eV/f.u.

---

Material: CdPSe2N
Method: DFT, SCAN
State: PBEsol geometry

a = 3.276 Å, b = 5.071 Å, c = 5.071 Å
α = 90.00°, β = 90.00°, γ = 90.00°
Fractional positions:
P 0.000 0.000 0.000
Se 0.000 0.500 0.000
Cd 0.500 0.500 0.500
Se 0.000 0.000 0.500
N 0.500 0.000 0.000

## Properties
The density of states at the Fermi level comes out at 2.46 states/eV per cell. As for the space group: P4/mmm. The raw formation energy comes out at 1.664 eV/f.u.

---

Material: SrCd2PN
Method: DFT, SCAN
State: PBEsol geometry

a = 4.428 Å, b = 4.428 Å, c = 5.090 Å
α = 90.00°, β = 90.00°, γ = 90.00°
Fractional positions:
N 0.000 0.000 0.000
Sr 0.000 0.000 0.500
Cd 0.500 0.000 0.000
Cd 0.000 0.500 0.000
P 0.500 0.500 0.500

## Properties
The density of states at the Fermi level comes out at 0.41 states/eV per cell. As for the space group: P4/mmm. The raw formation energy comes out at -0.952 eV/f.u.

---

Material: Cd3PbN
Method: DFT, SCAN
State: PBEsol geometry

a = 4.655 Å, b = 4.655 Å, c = 4.655 Å
α = 90.00°, β = 90.00°, γ = 90.00°
Fractional positions:
Cd 0.000 0.000 0.500
Pb 0.500 0.500 0.500
N 0.000 0.000 0.000
Cd 0.000 0.500 0.000
Cd 0.500 0.000 0.000

## Properties
The density of states at the Fermi level comes out at 2.11 states/eV per cell. As for the space group: Pm-3m. The raw formation energy comes out at 2.075 eV/f.u.

---

Material: CdPb2N2
Method: DFT, SCAN
State: PBEsol geometry

a = 3.441 Å, b = 3.441 Å, c = 8.976 Å
α = 90.00°, β = 90.00°, γ = 120.00°
Fractional positions:
Pb 0.667 0.333 0.193
Cd 0.000 0.000 0.500
N 0.667 0.333 0.663
Pb 0.333 0.667 0.807
N 0.333 0.667 0.337

## Properties
The density of states at the Fermi level comes out at 0.19 states/eV per cell. As for the space group: P-3m1. The raw formation energy comes out at 2.306 eV/f.u.

---

Material: Cd3PdN
Method: DFT, SCAN
State: PBEsol geometry

a = 4.449 Å, b = 4.449 Å, c = 4.449 Å
α = 90.00°, β = 90.00°, γ = 90.00°
Fractional positions:
Cd 0.000 0.500 0.000
Cd 0.500 0.000 0.000
N 0.000 0.000 0.000
Cd 0.000 0.000 0.500
Pd 0.500 0.500 0.500

## Properties
The density of states at the Fermi level comes out at 2.03 states/eV per cell. As for the space group: Pm-3m. The raw formation energy comes out at 1.829 eV/f.u.

---

Number 1: density 9.783 Mg/m³. Number 2: density 6.214 Mg/m³. Number 3: density 5.948 Mg/m³. Number 4: density 9.193 Mg/m³. Number 5: density 10.010 Mg/m³. Number 6: density 8.632 Mg/m³.